Here is TeIrPt after structural relaxation from Alexandria. Energies are from GGA-PBE.

```
data_TeIrPt
_cell_length_a 5.169
_cell_length_b 5.169
_cell_length_c 5.169
_cell_angle_alpha 145.08
_cell_angle_beta 136.78
_cell_angle_gamma 56.73
_symmetry_space_group_name_H-M 'P 1'
_symmetry_Int_Tables_number 1
loop_
_symmetry_equiv_pos_as_xyz
'x,y,z'
loop_
_atom_site_label
_atom_site_type_symbol
_atom_site_fract_x
_atom_site_fract_y
_atom_site_fract_z
Te1 Te 0.000 0.000 0.000
Ir1 Ir 0.637 0.637 0.000
Pt1 Pt 0.309 0.309 0.000
```

Summary:
**Spin magnetization**: 0.0 μB/f.u.
**Raw total energy**: -17.046 eV for the cell shown
**Energy relative to the lowest polymorph listed for this composition**: 11.5 kJ per mole of atoms